[1]
VASP calculation (PBE-GGA) on a relaxed structure of Sr2LaNi.

Lattice parameters (Å, degrees): 5.6318 5.6318 5.6318 60.00 60.00 60.00
Positions (direct):
Ni (0.0000, 0.0000, 0.0000)
Sr (0.7500, 0.7500, 0.7500)
Sr (0.2500, 0.2500, 0.2500)
La (0.5000, 0.5000, 0.5000)

Output
For the calculated total energy, the calculation gives -3.01 eV per atom. As for the energy of formation from the pure elements: 504 meV/atom.



[2]
VASP calculation (PBE-GGA) on a relaxed structure of SrLaNi4.

Lattice parameters (Å, degrees): 5.2266 5.2266 5.2266 60.00 60.00 60.00
Positions (direct):
La (0.0000, 0.0000, 0.0000)
Ni (0.1240, 0.6253, 0.6253)
Ni (0.6253, 0.6253, 0.1240)
Ni (0.6253, 0.6253, 0.6253)
Ni (0.6253, 0.1240, 0.6253)
Sr (0.2500, 0.2500, 0.2500)

Output
For the calculated total energy, the calculation gives -5.11 eV per atom. As for the energy of formation from the pure elements: -155 meV/atom.